No. 1
A relaxed structure of DySc4Ag, computed with PBE.

* E_tot: -5.41 eV per atom

abc: 5.2002 19.0958 6.0226
angles: 90.00 90.00 90.00
Closest atoms and distances in Å follow each position.
Space group Cmc2_1 (No. 36)
One atom of each set of equivalent atoms:
Dy: 0.0000 0.0636 0.0000 [4 per cell]  2 Ag 3.09, 6 Sc 3.29-3.46
Sc: 0.0000 0.1396 0.5034 [4 per cell]  2 Ag 3.10, 6 Sc 3.14-3.44, 2 Dy 3.32-3.36
Sc: 0.0000 0.2532 0.8800 [4 per cell]  1 Ag 2.89, 4 Sc 2.90-3.14
Sc: 0.0000 0.3143 0.3627 [4 per cell]  1 Ag 2.83, 4 Sc 2.90-3.13
Sc: 0.0000 0.4574 0.1722 [4 per cell]  2 Ag 2.78-2.79, 1 Sc 2.96
Ag: 0.0000 0.3987 0.7496 [4 per cell]  6 Sc 2.78-3.10, 2 Dy 3.09


No. 2
A relaxed structure of Dy2ScAg, computed with PBE.

* energy above the lowest structure with this stoichiometry: 109 meV/atom
* E_tot: -4.60 eV per atom

abc: 3.4515 3.4515 30.7845
angles: 90.00 90.00 120.00
Closest atoms and distances in Å follow each position.
Space group R-3m (No. 166, hexagonal axes)
One atom of each set of equivalent atoms:
Dy: 0.0000 0.0000 0.2454 [6 per cell]  3 Ag 3.14, 3 Sc 3.36, 6 Dy 3.45
Sc: 0.0000 0.0000 0.0000 [3 per cell]  6 Dy 3.36, 6 Sc 3.45
Ag: 0.0000 0.0000 0.5000 [3 per cell]  6 Dy 3.14, 6 Ag 3.45


No. 3
A relaxed structure of Dy3Sc12Ag5, computed with PBE.

* E_tot: -4.63 eV per atom

abc: 16.7672 16.7672 16.7672
angles: 90.00 90.00 90.00
Closest atoms and distances in Å follow each position.
Space group Ia-3d (No. 230)
One atom of each set of equivalent atoms:
Dy: 0.0000 0.2500 0.1250 [24 per cell]  8 Sc 3.06-3.29
Sc: 0.0251 0.0706 0.6451 [96 per cell]  2 Ag 2.70-2.74
Ag: 0.0000 0.0000 0.0000 [16 per cell]  6 Sc 2.74
Ag: 0.0000 0.2500 0.3750 [24 per cell]  4 Sc 2.70


No. 4
A relaxed structure of Dy2ScAg, computed with PBE.

* energy above the lowest structure with this stoichiometry: 112 meV/atom
* E_tot: -4.60 eV per atom

abc: 3.4690 3.4690 30.6091
angles: 90.00 90.00 120.00
Closest atoms and distances in Å follow each position.
Space group R3m (No. 160, hexagonal axes)
One atom of each set of equivalent atoms:
Dy: 0.0000 0.0000 0.0000 [3 per cell]  3 Ag 3.15, 3 Sc 3.35, 6 Dy 3.47
Dy: 0.0000 0.0000 0.1752 [3 per cell]  3 Ag 3.13, 3 Sc 3.34, 6 Dy 3.47
Sc: 0.0000 0.0000 0.7544 [3 per cell]  6 Dy 3.34-3.35, 6 Sc 3.47
Ag: 0.0000 0.0000 0.5873 [3 per cell]  6 Dy 3.13-3.15, 6 Ag 3.47


no.,density (g cm⁻³),formation energy (meV per atom)
1,5.00,51
2,7.49,-3
3,4.41,576
4,7.46,0